Co2Pt2N, optimized geometry, DFT PBE; space group = I4/mmm; spin magnetization = 6.6 μB per cell; energy above the lowest structure with this stoichiometry = 1055 meV per atom; formation energy from raw total energies = 1.323 eV/atom
1.0
-1.8240 1.8240 5.7919
1.8240 -1.8240 5.7919
1.8240 1.8240 -5.7919
Co Pt N
2 2 1
direct
0.0936 0.0936 0.0000
0.9064 0.9064 0.0000
0.2500 0.7500 0.5000
0.7500 0.2500 0.5000
0.5000 0.5000 0.0000